# 1
Compound: HfGaPb2
Source: the Alexandria database
Functional: PBE-GGA
Structure: optimized geometry

Values from the calculation:
Formation enthalpy at 0 K in eV/atom: 0.342
Calculated volume in Å³ per cell: 205.8

Cell lengths 6.5645, 6.5645, 6.5645 Å; angles 102.39, 102.39, 124.82 degrees
Positions (direct):
Hf1 0.0000 0.0000 0.0000
Hf2 0.7500 0.2500 0.5000
Ga1 0.2500 0.7500 0.5000
Ga2 0.5000 0.5000 0.0000
Pb1 0.1339 0.6250 0.0089
Pb2 0.3750 0.3839 0.5089
Pb3 0.6161 0.1250 0.9911
Pb4 0.8750 0.8661 0.4911

# 2
Compound: Pr6TmTl5
Source: the Alexandria database
Functional: PBE-GGA
Structure: optimized geometry

Values from the calculation:
Formation enthalpy at 0 K in eV/atom: -0.185
Calculated volume in Å³ per cell: 390.6

Cell lengths 7.8620, 7.8620, 6.5035 Å; angles 98.17, 98.17, 96.09 degrees
Positions (direct):
Pr1 0.0430 0.4043 0.7289
Pr2 0.2152 0.2152 0.2066
Pr3 0.4043 0.0430 0.7289
Pr4 0.5957 0.9570 0.2711
Pr5 0.7849 0.7849 0.7934
Pr6 0.9570 0.5957 0.2711
Tm1 0.5000 0.5000 0.0000
Tl1 0.0000 0.0000 0.5000
Tl2 0.2155 0.7845 0.0000
Tl3 0.3676 0.6324 0.5000
Tl4 0.6324 0.3676 0.5000
Tl5 0.7845 0.2155 0.0000

# 3
Compound: Sr3CaRe2N6
Source: the Alexandria database
Functional: PBE-GGA
Structure: optimized geometry

Values from the calculation:
Energy relative to the elements, uncorrected in eV per atom: -0.7416
Calculated volume in Å³ per cell: 232.3

Cell lengths 6.2279, 6.2279, 6.9143 Å; angles 90.00, 90.00, 120.00 degrees
Positions (direct):
Sr1 0.0000 0.0000 0.0000
Sr2 0.3333 0.6667 0.7200
Sr3 0.6667 0.3333 0.2800
Ca1 0.0000 0.0000 0.5000
Re1 0.3333 0.6667 0.2303
Re2 0.6667 0.3333 0.7697
N1 0.1687 0.3375 0.2708
N2 0.1687 0.8313 0.2708
N3 0.3375 0.1687 0.7292
N4 0.6625 0.8313 0.2708
N5 0.8313 0.1687 0.7292
N6 0.8313 0.6625 0.7292

# 4
Compound: HfZrSbI2
Source: the Alexandria database
Functional: PBE-GGA
Structure: optimized geometry

Values from the calculation:
Energy relative to the elements, uncorrected in eV per atom: 0.5076
Calculated volume in Å³ per cell: 172.6

Cell lengths 5.5049, 5.5049, 5.6956 Å; angles 90.00, 90.00, 90.00 degrees
Positions (direct):
Hf1 0.0000 0.0000 0.0000
Zr1 0.5000 0.5000 0.5000
Sb1 0.0000 0.0000 0.5000
I1 0.0000 0.5000 0.0000
I2 0.5000 0.0000 0.0000

# 5
Compound: CoSiAg2
Source: the Alexandria database
Functional: PBE-GGA
Structure: optimized geometry

Values from the calculation:
Energy relative to the elements, uncorrected in eV per atom: 0.3916
Calculated volume in Å³ per cell: 61.3

Cell lengths 2.8162, 4.0796, 5.3365 Å; angles 90.00, 90.00, 90.00 degrees
Positions (direct):
Co1 0.0000 0.0000 0.0000
Si1 0.0000 0.0000 0.5000
Ag1 0.5000 0.5000 0.2468
Ag2 0.5000 0.5000 0.7532

# 6
Compound: NaY2AgO
Source: the Alexandria database
Functional: PBE-GGA
Structure: optimized geometry

Values from the calculation:
Energy relative to the elements, uncorrected in eV per atom: -1.0931
Calculated volume in Å³ per cell: 105.1

Cell lengths 4.6905, 4.6905, 4.7756 Å; angles 90.00, 90.00, 90.00 degrees
Positions (direct):
Na1 0.0000 0.0000 0.0000
Y1 0.0000 0.5000 0.5000
Y2 0.5000 0.0000 0.5000
Ag1 0.5000 0.5000 0.0000
O1 0.0000 0.0000 0.5000